First-principles (GGA-PBE) data for a geometry-optimized Tl5In3Pb3 structure, as listed in Alexandria via LeMat-Bulk.

a b c (Å): 11.2179 11.2179 3.3010
angles (deg): 90.00 90.00 120.00
Space group P-62m (No. 189)
Asymmetric unit:
Tl: 0.0000 0.3095 0.0000 [3 per cell]
Tl: 0.3333 0.6667 0.0000 [2 per cell]
In: 0.0000 0.8431 0.5000 [3 per cell]
Pb: 0.0000 0.6016 0.0000 [3 per cell]

Calculated values
ΔH_f (0 K) ... 0.098 eV per atom
Magnetic moment ... 0.0 μB per formula unit
Crystal system ... hexagonal
V ... 32.705 A^3/atom


First-principles (GGA-PBE) data for a geometry-optimized TlIn4Pb3 structure, as listed in Alexandria via LeMat-Bulk.

a b c (Å): 6.517 11.544 6.388
angles (deg): 90.00 90.00 90.00
Space group Imm2 (No. 44)
Asymmetric unit:
Tl: 0.000 0.000 0.000 [2 per cell]
In: 0.000 0.233 0.705 [4 per cell]
In: 0.249 0.000 0.491 [4 per cell]
Pb: 0.000 0.271 0.207 [4 per cell]
Pb: 0.000 0.500 0.526 [2 per cell]

Calculated values
ΔH_f (0 K) ... 0.075 eV per atom
Magnetic moment ... 0.0 μB per formula unit
Crystal system ... orthorhombic
V ... 30.037 A^3/atom
Energy above the most stable polymorph in this dataset ... 36 meV/atom